Entry 1:
# ZrAsSe (GGA-PBE, optimized geometry)
data_ZrAsSe
_chemical_formula_sum 'Zr1 As1 Se1'
_cell_length_a 4.644
_cell_length_b 4.644
_cell_length_c 4.644
_cell_angle_alpha 60.00
_cell_angle_beta 60.00
_cell_angle_gamma 60.00
_space_group_name_H-M_alt 'P 1'
_space_group_IT_number 1
_space_group_name_Hall 'P 1'
loop_
_atom_site_label
_atom_site_fract_x
_atom_site_fract_y
_atom_site_fract_z
Se1 0.500 0.500 0.500
As1 0.000 0.000 0.000
Zr1 0.750 0.750 0.750
# **Space group**: No. 216
# **ρ**: 5.7 Mg/m³
# **E_form (uncorrected)**: -0.6094 eV/atom
# **VASP energy**: -6.17 eV/atom



Entry 2:
# ZrGaAu (GGA-PBE, optimized geometry)
data_ZrGaAu
_chemical_formula_sum 'Zr2 Ga2 Au2'
_cell_length_a 4.485
_cell_length_b 6.401
_cell_length_c 4.485
_cell_angle_alpha 90.00
_cell_angle_beta 120.00
_cell_angle_gamma 90.00
_space_group_name_H-M_alt 'P 1'
_space_group_IT_number 1
_space_group_name_Hall 'P 1'
loop_
_atom_site_label
_atom_site_fract_x
_atom_site_fract_y
_atom_site_fract_z
Zr1 0.961 0.926 0.190
Zr2 0.961 0.426 0.190
Au1 0.294 0.188 0.857
Au2 0.294 0.664 0.857
Ga1 0.627 0.698 0.523
Ga2 0.627 0.155 0.523
# **Space group**: No. 187
# **ρ**: 10.7 Mg/m³
# **VASP energy**: -5.55 eV/atom



Entry 3:
# InRu2N (GGA-PBE, optimized geometry)
data_InRu2N
_chemical_formula_sum 'In1 Ru2 N1'
_cell_length_a 4.315
_cell_length_b 4.315
_cell_length_c 4.315
_cell_angle_alpha 60.00
_cell_angle_beta 60.00
_cell_angle_gamma 60.00
_space_group_name_H-M_alt 'P 1'
_space_group_IT_number 1
_space_group_name_Hall 'P 1'
loop_
_atom_site_label
_atom_site_fract_x
_atom_site_fract_y
_atom_site_fract_z
In1 0.500 0.500 0.500
Ru1 0.250 0.250 0.250
Ru2 0.750 0.750 0.750
N1 0.000 0.000 0.000
# **Space group**: No. 225
# **ΔE to the lowest computed polymorph**: 1.1652 eV/atom
# **ρ**: 9.7 Mg/m³
# **E_form (uncorrected)**: 1.3687 eV/atom
# **VASP energy**: -6.04 eV/atom



Entry 4:
# RbAsSeN2 (GGA-PBE, optimized geometry)
data_RbAsSeN2
_chemical_formula_sum 'Rb1 As1 Se1 N2'
_cell_length_a 5.017
_cell_length_b 5.017
_cell_length_c 6.961
_cell_angle_alpha 90.00
_cell_angle_beta 90.00
_cell_angle_gamma 90.00
_space_group_name_H-M_alt 'P 1'
_space_group_IT_number 1
_space_group_name_Hall 'P 1'
loop_
_atom_site_label
_atom_site_fract_x
_atom_site_fract_y
_atom_site_fract_z
N1 0.500 0.000 0.000
N2 0.000 0.500 0.000
Rb1 0.000 0.000 0.000
Se1 0.000 0.000 0.500
As1 0.500 0.500 0.500
# **Space group**: No. 123
# **ΔE to the lowest computed polymorph**: 1.3127 eV/atom
# **ρ**: 2.5 Mg/m³
# **E_form (uncorrected)**: 2.4043 eV/atom
# **VASP energy**: -2.75 eV/atom



Entry 5:
# CsPdN2 (GGA-PBE, optimized geometry)
data_CsPdN2
_chemical_formula_sum 'Cs2 Pd2 N4'
_cell_length_a 3.670
_cell_length_b 4.242
_cell_length_c 13.272
_cell_angle_alpha 80.80
_cell_angle_beta 89.76
_cell_angle_gamma 88.47
_space_group_name_H-M_alt 'P 1'
_space_group_IT_number 1
_space_group_name_Hall 'P 1'
loop_
_atom_site_label
_atom_site_fract_x
_atom_site_fract_y
_atom_site_fract_z
Pd1 0.000 0.500 0.500
Pd2 0.500 0.000 0.500
Cs1 0.250 0.642 0.716
Cs2 0.750 0.358 0.284
N1 0.751 0.919 0.896
N2 0.749 0.186 0.897
N3 0.251 0.814 0.103
N4 0.249 0.081 0.104
# **Space group**: No. 2
# **ΔE to the lowest computed polymorph**: 0.0000 eV/atom
# **ρ**: 4.4 Mg/m³
# **E_form (uncorrected)**: 0.0753 eV/atom
# **VASP energy**: -5.60 eV/atom



Entry 6:
# FeAs (GGA-PBE, optimized geometry)
data_FeAs
_chemical_formula_sum 'Fe1 As1'
_cell_length_a 3.345
_cell_length_b 3.345
_cell_length_c 2.935
_cell_angle_alpha 90.00
_cell_angle_beta 90.00
_cell_angle_gamma 120.00
_space_group_name_H-M_alt 'P 1'
_space_group_IT_number 1
_space_group_name_Hall 'P 1'
loop_
_atom_site_label
_atom_site_fract_x
_atom_site_fract_y
_atom_site_fract_z
Fe1 0.667 0.333 0.500
As1 0.000 0.000 0.000
# **Space group**: No. 187
# **ρ**: 7.6 Mg/m³
# **VASP energy**: -6.55 eV/atom



Entry 7:
# KTe4As (GGA-PBE, optimized geometry)
data_KTe4As
_chemical_formula_sum 'K1 Te4 As1'
_cell_length_a 6.419
_cell_length_b 6.419
_cell_length_c 6.419
_cell_angle_alpha 60.00
_cell_angle_beta 60.00
_cell_angle_gamma 60.00
_space_group_name_H-M_alt 'P 1'
_space_group_IT_number 1
_space_group_name_Hall 'P 1'
loop_
_atom_site_label
_atom_site_fract_x
_atom_site_fract_y
_atom_site_fract_z
K1 0.000 0.000 0.000
Te1 0.377 0.377 0.870
Te2 0.377 0.870 0.377
Te3 0.377 0.377 0.377
Te4 0.870 0.377 0.377
As1 0.750 0.750 0.750
# **Space group**: No. 216
# **ΔE to the lowest computed polymorph**: 0.4256 eV/atom
# **ρ**: 5.5 Mg/m³
# **E_form (uncorrected)**: 0.2249 eV/atom
# **VASP energy**: -2.83 eV/atom



Entry 8:
# CuTcTe2I (GGA-PBE, optimized geometry)
data_CuTcTe2I
_chemical_formula_sum 'Cu1 Tc1 Te2 I1'
_cell_length_a 5.092
_cell_length_b 5.092
_cell_length_c 5.876
_cell_angle_alpha 90.00
_cell_angle_beta 90.00
_cell_angle_gamma 90.00
_space_group_name_H-M_alt 'P 1'
_space_group_IT_number 1
_space_group_name_Hall 'P 1'
loop_
_atom_site_label
_atom_site_fract_x
_atom_site_fract_y
_atom_site_fract_z
Cu1 0.500 0.500 0.500
Tc1 0.000 0.000 0.000
I1 0.000 0.000 0.500
Te1 0.500 0.000 0.000
Te2 0.000 0.500 0.000
# **Space group**: No. 123
# **ΔE to the lowest computed polymorph**: 0.0000 eV/atom
# **ρ**: 5.9 Mg/m³
# **E_form (uncorrected)**: 0.7458 eV/atom
# **VASP energy**: -3.71 eV/atom



Entry 9:
# Er2PtAu (GGA-PBE, optimized geometry)
data_Er2PtAu
_chemical_formula_sum 'Er4 Pt2 Au2'
_cell_length_a 4.585
_cell_length_b 5.578
_cell_length_c 7.060
_cell_angle_alpha 90.00
_cell_angle_beta 90.00
_cell_angle_gamma 90.00
_space_group_name_H-M_alt 'P 1'
_space_group_IT_number 1
_space_group_name_Hall 'P 1'
loop_
_atom_site_label
_atom_site_fract_x
_atom_site_fract_y
_atom_site_fract_z
Pt1 0.500 0.596 0.958
Pt2 0.500 0.404 0.458
Er1 0.500 0.116 0.816
Er2 0.000 0.596 0.685
Er3 0.500 0.884 0.316
Er4 0.000 0.404 0.185
Au1 0.000 0.088 0.540
Au2 0.000 0.912 0.040
# **Space group**: No. 26
# **ρ**: 13.4 Mg/m³
# **VASP energy**: -5.72 eV/atom



Entry 10:
# CaLa2Pr (GGA-PBE, optimized geometry)
data_CaLa2Pr
_chemical_formula_sum 'Ca1 La2 Pr1'
_cell_length_a 3.736
_cell_length_b 3.736
_cell_length_c 10.901
_cell_angle_alpha 90.00
_cell_angle_beta 90.00
_cell_angle_gamma 90.00
_space_group_name_H-M_alt 'P 1'
_space_group_IT_number 1
_space_group_name_Hall 'P 1'
loop_
_atom_site_label
_atom_site_fract_x
_atom_site_fract_y
_atom_site_fract_z
La1 0.000 0.000 0.766
La2 0.000 0.000 0.234
Ca1 0.500 0.500 0.500
Pr1 0.500 0.500 0.000
# **Space group**: No. 123
# **ΔE to the lowest computed polymorph**: 0.0056 eV/atom
# **ρ**: 5.0 Mg/m³
# **VASP energy**: -4.12 eV/atom



Entry 11:
# MgRu5 (GGA-PBE, optimized geometry)
data_MgRu5
_chemical_formula_sum 'Mg1 Ru5'
_cell_length_a 5.040
_cell_length_b 5.040
_cell_length_c 4.468
_cell_angle_alpha 90.00
_cell_angle_beta 90.00
_cell_angle_gamma 120.00
_space_group_name_H-M_alt 'P 1'
_space_group_IT_number 1
_space_group_name_Hall 'P 1'
loop_
_atom_site_label
_atom_site_fract_x
_atom_site_fract_y
_atom_site_fract_z
Ru1 0.000 0.500 0.500
Ru2 0.500 0.000 0.500
Ru3 0.333 0.667 0.000
Ru4 0.667 0.333 0.000
Ru5 0.500 0.500 0.500
Mg1 0.000 0.000 0.000
# **Space group**: No. 191
# **ρ**: 8.9 Mg/m³
# **VASP energy**: -7.50 eV/atom



Entry 12:
# ScNiMo (GGA-PBE, optimized geometry)
data_ScNiMo
_chemical_formula_sum 'Sc1 Ni1 Mo1'
_cell_length_a 2.932
_cell_length_b 2.932
_cell_length_c 6.510
_cell_angle_alpha 90.00
_cell_angle_beta 90.00
_cell_angle_gamma 120.00
_space_group_name_H-M_alt 'P 1'
_space_group_IT_number 1
_space_group_name_Hall 'P 1'
loop_
_atom_site_label
_atom_site_fract_x
_atom_site_fract_y
_atom_site_fract_z
Sc1 0.333 0.667 0.655
Ni1 0.667 0.333 0.324
Mo1 0.000 0.000 0.021
# **Space group**: No. 156
# **ΔE to the lowest computed polymorph**: 0.3440 eV/atom
# **ρ**: 6.8 Mg/m³
# **VASP energy**: -7.42 eV/atom



Entry 13:
# Cs2Cu2ReO6 (GGA-PBE, optimized geometry)
data_Cs2Cu2ReO6
_chemical_formula_sum 'Cs2 Cu2 Re1 O6'
_cell_length_a 5.932
_cell_length_b 5.932
_cell_length_c 7.081
_cell_angle_alpha 65.24
_cell_angle_beta 65.24
_cell_angle_gamma 60.00
_space_group_name_H-M_alt 'P 1'
_space_group_IT_number 1
_space_group_name_Hall 'P 1'
loop_
_atom_site_label
_atom_site_fract_x
_atom_site_fract_y
_atom_site_fract_z
Re1 0.000 0.000 0.000
O1 0.789 0.789 0.182
O2 0.759 0.211 0.818
O3 0.211 0.759 0.818
O4 0.241 0.789 0.182
O5 0.789 0.241 0.182
O6 0.211 0.211 0.818
Cs1 0.785 0.785 0.644
Cs2 0.215 0.215 0.356
Cu1 0.607 0.607 0.179
Cu2 0.393 0.393 0.821
# **Space group**: No. 166
# **ρ**: 5.9 Mg/m³
# **E_form (uncorrected)**: -1.2786 eV/atom
# **VASP energy**: -6.01 eV/atom



Entry 14:
# PmPr2Sm3Te6 (GGA-PBE, optimized geometry)
data_PmPr2Sm3Te6
_chemical_formula_sum 'Pm1 Pr2 Sm3 Te6'
_cell_length_a 4.454
_cell_length_b 9.004
_cell_length_c 10.004
_cell_angle_alpha 102.93
_cell_angle_beta 102.86
_cell_angle_gamma 90.00
_space_group_name_H-M_alt 'P 1'
_space_group_IT_number 1
_space_group_name_Hall 'P 1'
loop_
_atom_site_label
_atom_site_fract_x
_atom_site_fract_y
_atom_site_fract_z
Te1 0.334 0.922 0.667
Te2 0.998 0.250 0.996
Te3 0.666 0.078 0.333
Te4 0.335 0.413 0.670
Te5 0.665 0.587 0.330
Te6 0.002 0.750 0.004
Sm1 0.500 0.500 0.000
Sm2 0.168 0.834 0.337
Sm3 0.832 0.166 0.663
Pm1 0.500 0.000 0.000
Pr1 0.167 0.334 0.334
Pr2 0.833 0.666 0.666
# **Space group**: No. 12
# **ρ**: 7.2 Mg/m³
# **E_form (uncorrected)**: -1.4069 eV/atom
# **VASP energy**: -5.35 eV/atom



Entry 15:
# NbFeTcOs2 (GGA-PBE, optimized geometry)
data_NbFeTcOs2
_chemical_formula_sum 'Nb1 Fe1 Tc1 Os2'
_cell_length_a 4.702
_cell_length_b 4.633
_cell_length_c 4.702
_cell_angle_alpha 90.00
_cell_angle_beta 90.00
_cell_angle_gamma 90.00
_space_group_name_H-M_alt 'P 1'
_space_group_IT_number 1
_space_group_name_Hall 'P 1'
loop_
_atom_site_label
_atom_site_fract_x
_atom_site_fract_y
_atom_site_fract_z
Nb1 0.000 0.000 0.000
Os1 0.000 0.000 0.500
Os2 0.500 0.000 0.000
Tc1 0.000 0.500 0.000
Fe1 0.500 0.500 0.500
# **Space group**: No. 123
# **ρ**: 10.2 Mg/m³
# **VASP energy**: -7.73 eV/atom



Entry 16:
# HfNb2Al2 (GGA-PBE, optimized geometry)
data_HfNb2Al2
_chemical_formula_sum 'Hf2 Nb4 Al4'
_cell_length_a 8.049
_cell_length_b 8.049
_cell_length_c 2.859
_cell_angle_alpha 90.00
_cell_angle_beta 90.00
_cell_angle_gamma 90.00
_space_group_name_H-M_alt 'P 1'
_space_group_IT_number 1
_space_group_name_Hall 'P 1'
loop_
_atom_site_label
_atom_site_fract_x
_atom_site_fract_y
_atom_site_fract_z
Al1 0.179 0.679 0.500
Al2 0.821 0.321 0.500
Al3 0.679 0.821 0.500
Al4 0.321 0.179 0.500
Hf1 0.500 0.500 0.000
Hf2 0.000 0.000 0.000
Nb1 0.617 0.117 0.000
Nb2 0.883 0.617 0.000
Nb3 0.383 0.883 0.000
Nb4 0.117 0.383 0.000
# **Space group**: No. 127
# **ΔE to the lowest computed polymorph**: 0.2566 eV/atom
# **ρ**: 7.5 Mg/m³
# **VASP energy**: -7.60 eV/atom



Entry 17:
# Mg6Ni2Hg (GGA-PBE, optimized geometry)
data_Mg6Ni2Hg
_chemical_formula_sum 'Mg12 Ni4 Hg2'
_cell_length_a 7.635
_cell_length_b 7.635
_cell_length_c 7.635
_cell_angle_alpha 104.46
_cell_angle_beta 114.38
_cell_angle_gamma 109.73
_space_group_name_H-M_alt 'P 1'
_space_group_IT_number 1
_space_group_name_Hall 'P 1'
loop_
_atom_site_label
_atom_site_fract_x
_atom_site_fract_y
_atom_site_fract_z
Mg1 0.901 0.716 0.185
Mg2 0.304 0.972 0.668
Mg3 0.099 0.284 0.815
Mg4 0.304 0.636 0.332
Mg5 0.530 0.716 0.815
Mg6 0.791 0.751 0.542
Mg7 0.696 0.028 0.332
Mg8 0.209 0.249 0.458
Mg9 0.696 0.364 0.668
Mg10 0.470 0.284 0.185
Mg11 0.791 0.249 0.041
Mg12 0.209 0.751 0.959
Ni1 0.500 0.376 0.876
Ni2 0.342 0.000 0.342
Ni3 0.658 0.000 0.658
Ni4 0.500 0.624 0.124
Hg1 0.000 0.000 0.000
Hg2 0.000 0.500 0.500
# **Space group**: No. 71
# **ρ**: 4.5 Mg/m³
# **VASP energy**: -2.55 eV/atom



Entry 18:
# SrFeSi2Sn (GGA-PBE, optimized geometry)
data_SrFeSi2Sn
_chemical_formula_sum 'Sr1 Fe1 Si2 Sn1'
_cell_length_a 4.445
_cell_length_b 4.943
_cell_length_c 4.445
_cell_angle_alpha 90.00
_cell_angle_beta 90.00
_cell_angle_gamma 90.00
_space_group_name_H-M_alt 'P 1'
_space_group_IT_number 1
_space_group_name_Hall 'P 1'
loop_
_atom_site_label
_atom_site_fract_x
_atom_site_fract_y
_atom_site_fract_z
Sr1 0.500 0.500 0.500
Si1 0.500 0.000 0.000
Si2 0.000 0.000 0.500
Sn1 0.000 0.500 0.000
Fe1 0.000 0.000 0.000
# **Space group**: No. 123
# **ρ**: 5.4 Mg/m³
# **E_form (uncorrected)**: 0.0691 eV/atom
# **VASP energy**: -4.93 eV/atom



Entry 19:
# DyAgO (GGA-PBE, optimized geometry)
data_DyAgO
_chemical_formula_sum 'Dy2 Ag2 O2'
_cell_length_a 3.865
_cell_length_b 3.865
_cell_length_c 7.537
_cell_angle_alpha 90.00
_cell_angle_beta 90.00
_cell_angle_gamma 90.00
_space_group_name_H-M_alt 'P 1'
_space_group_IT_number 1
_space_group_name_Hall 'P 1'
loop_
_atom_site_label
_atom_site_fract_x
_atom_site_fract_y
_atom_site_fract_z
Ag1 0.750 0.250 0.066
Ag2 0.250 0.750 0.934
Dy1 0.250 0.750 0.352
Dy2 0.750 0.250 0.648
O1 0.250 0.250 0.500
O2 0.750 0.750 0.500
# **Space group**: No. 129
# **ρ**: 8.4 Mg/m³
# **E_form (uncorrected)**: -2.0450 eV/atom
# **VASP energy**: -6.18 eV/atom



Entry 20:
# KGeSCl2 (GGA-PBE, optimized geometry)
data_KGeSCl2
_chemical_formula_sum 'K1 Ge1 S1 Cl2'
_cell_length_a 5.285
_cell_length_b 5.285
_cell_length_c 4.644
_cell_angle_alpha 90.00
_cell_angle_beta 90.00
_cell_angle_gamma 90.00
_space_group_name_H-M_alt 'P 1'
_space_group_IT_number 1
_space_group_name_Hall 'P 1'
loop_
_atom_site_label
_atom_site_fract_x
_atom_site_fract_y
_atom_site_fract_z
Cl1 0.500 0.000 0.000
Cl2 0.000 0.500 0.000
Ge1 0.000 0.000 0.000
K1 0.500 0.500 0.500
S1 0.000 0.000 0.500
# **Space group**: No. 123
# **ΔE to the lowest computed polymorph**: 0.0000 eV/atom
# **ρ**: 2.7 Mg/m³
# **E_form (uncorrected)**: -0.8926 eV/atom
# **VASP energy**: -3.60 eV/atom